[1]
First-principles (PBE-GGA) data for BeAsW2 after structural relaxation, as listed in the Alexandria database.

Distance to the lowest polymorph of the same formula: 180.4 meV per atom
Mass density: 13.5 g cm⁻³
SG: No. 38
Volume: 55.59 Å³/cell

Unit cell a=3.9973 b=4.7339 c=4.7339 alpha=38.36 beta=90.00 gamma=90.00
Closest atoms and distances in Å follow each position.
Sites, in units of the cell vectors:
Be (0.0000, 0.0000, 0.0000)  7 W 2.40-2.60, 2 As 2.43
As (0.5000, 0.8460, 0.8460)  2 Be 2.43, 7 W 2.49-2.63
W (0.0000, 0.2686, 0.2686)  3 Be 2.40-2.59, 4 As 2.63
W (0.5000, 0.5678, 0.5678)  3 As 2.49-2.52, 4 Be 2.60


[2]
First-principles (PBE-GGA) data for BeAsW2 after structural relaxation, as listed in the Alexandria database.

Distance to the lowest polymorph of the same formula: 0.0 meV per atom
Mass density: 13.2 g cm⁻³
SG: No. 99
Volume: 56.72 Å³/cell

Unit cell a=3.1701 b=3.1701 c=5.6444 alpha=90.00 beta=90.00 gamma=90.00
Closest atoms and distances in Å follow each position.
Sites, in units of the cell vectors:
Be (0.0000, 0.0000, 0.0000)  5 W 2.51-2.70, 4 As 2.68
As (0.5000, 0.5000, 0.7404)  5 W 2.59-2.68, 4 Be 2.68
W (0.0000, 0.0000, 0.4787)  4 As 2.68, 2 Be 2.70-2.94, 4 W 2.74
W (0.5000, 0.5000, 0.2001)  4 Be 2.51, 1 As 2.59, 4 W 2.74


[3]
First-principles (PBE-GGA) data for BeAsW2 after structural relaxation, as listed in the Alexandria database.

Distance to the lowest polymorph of the same formula: 356.4 meV per atom
Mass density: 13.3 g cm⁻³
SG: No. 65
Volume: 56.46 Å³/cell

Unit cell a=4.1840 b=4.1840 c=3.2592 alpha=90.00 beta=90.00 gamma=98.28
Closest atoms and distances in Å follow each position.
Sites, in units of the cell vectors:
Be (0.0000, 0.0000, 0.0000)  8 W 2.65, 2 As 2.74
As (0.5000, 0.5000, 0.0000)  8 W 2.65, 2 Be 2.74
W (0.0000, 0.5000, 0.5000)  4 As 2.65, 4 Be 2.65, 2 W 2.74
W (0.5000, 0.0000, 0.5000)  4 As 2.65, 4 Be 2.65, 2 W 2.74


[4]
First-principles (PBE-GGA) data for Y2BeAsW after structural relaxation, as listed in the Alexandria database.

Mass density: 5.2 g cm⁻³
SG: No. 123
Final energy: -6.1352 eV/atom
Volume: 141.41 Å³/cell

Unit cell a=5.4399 b=5.4399 c=4.7784 alpha=90.00 beta=90.00 gamma=90.00
Closest atoms and distances in Å follow each position.
Sites, in units of the cell vectors:
Y (0.0000, 0.5000, 0.0000)  2 W 2.72
Y (0.5000, 0.0000, 0.0000)  2 W 2.72
Be (0.0000, 0.0000, 0.5000)  8 Y 3.62, 4 As 3.85
As (0.5000, 0.5000, 0.5000)  2 W 2.39
W (0.5000, 0.5000, 0.0000)  2 As 2.39


[5]
First-principles (PBE-GGA) data for YBeAs after structural relaxation, as listed in the Alexandria database.

Distance to the lowest polymorph of the same formula: 0.0 meV per atom
Mass density: 5.5 g cm⁻³
SG: No. 156
Volume: 52.24 Å³/cell

Unit cell a=3.8477 b=3.8477 c=4.0747 alpha=90.00 beta=90.00 gamma=120.00
Closest atoms and distances in Å follow each position.
Sites, in units of the cell vectors:
Y (0.0000, 0.0000, 0.0000)  6 Be 3.01-3.02, 6 As 3.01-3.02
Be (0.3333, 0.6667, 0.5013)  3 As 2.22
As (0.6667, 0.3333, 0.4996)  3 Be 2.22


[6]
First-principles (PBE-GGA) data for YBeAs after structural relaxation, as listed in the Alexandria database.

Distance to the lowest polymorph of the same formula: 775.6 meV per atom
Mass density: 4.6 g cm⁻³
SG: No. 216
Volume: 62.46 Å³/cell

Unit cell a=4.4536 b=4.4536 c=4.4536 alpha=60.00 beta=60.00 gamma=60.00
Closest atoms and distances in Å follow each position.
Sites, in units of the cell vectors:
Y (0.0000, 0.0000, 0.0000)  4 As 2.73
Be (0.5000, 0.5000, 0.5000)  4 As 2.73
As (0.7500, 0.7500, 0.7500)  4 Y 2.73, 4 Be 2.73


What is the formula in the second record? BeAsW2